An optimized crystal structure of Tl5Zn. Source: Alexandria via LeMat-Bulk, functional GGA-PBE.

Geometry as extended XYZ:
```
6
Lattice="3.513 0.000 0.000 0.000 3.513 0.000 0.000 0.000 13.801" Properties=species:S:1:pos:R:3 pbc="T T T"
Tl 0.000 0.000 0.000
Tl 0.000 0.000 5.030
Tl 0.000 0.000 8.772
Tl 1.756 1.756 2.554
Tl 1.756 1.756 11.247
Zn 1.756 1.756 6.901
```

## Properties
ρ   10.603 g/cm3
Volume   170 Å³/cell
Uncorrected energy   -0.1558 Ry/atom
SG   P4/mmm